[1]
AgIF5: optimized geometry, GGA-PBE.

Lattice parameters (Å, degrees): 6.2434 6.2499 8.3215 109.90 99.35 109.32
Site moments in Bohr magnetons follow the coordinates.
Element x y z (fractional)
F  0.3199  0.6915  0.4095  0.10
F  0.7182  0.5914  0.9090  0.11
F  0.2793  0.4114  0.0911  0.10
F  0.7442  0.6343  0.3296  0.04
F  0.6973  0.0878  0.8291  0.04
F  0.8255  0.0786  0.2495  0.04
F  0.6795  0.3130  0.5905  0.10
F  0.1727  0.9248  0.7500  0.04
F  0.2541  0.3679  0.6684  0.04
F  0.3001  0.9131  0.1684  0.04
I  0.5307  0.7822  0.2488  0.41
I  0.4673  0.2191  0.7484  0.41
Ag  0.9997  0.5018  0.4993  0.08
Ag  0.9985  0.0007  0.9993  0.08

Calculated values
For the calculated total energy, the calculation gives -45.1 eV/cell. As for the spin magnetization: 1.01 μB per formula unit.

---

[2]
Pm2TmUN4: optimized geometry, GGA-PBE.

Lattice parameters (Å, degrees): 3.5087 5.9888 6.1037 108.91 90.00 90.00
Site moments in Bohr magnetons follow the coordinates.
Element x y z (fractional)
N  0.0000  0.2419  0.7827  -0.01
N  0.5000  0.7700  0.7838  -0.02
N  0.5000  0.2300  0.2162  -0.02
N  0.0000  0.7581  0.2173  -0.01
Pm  0.0000  0.5000  0.5000  0.03
Pm  0.5000  0.0000  0.5000  0.01
U  0.0000  0.0000  0.0000  0.45
Tm  0.5000  0.5000  0.0000  0.01

Calculated values
For the calculated total energy, the calculation gives -71.0 eV/cell. As for the spin magnetization: 0.52 μB per formula unit.

---

[3]
Ba3Tl2Hg4Au2: optimized geometry, GGA-PBE.

Lattice parameters (Å, degrees): 5.0887 5.0887 16.1754 90.00 90.00 120.00
Element x y z (fractional)
Ba  0.0000  0.0000  0.0000
Ba  0.0000  0.0000  0.7448
Ba  0.0000  0.0000  0.2552
Tl  0.6667  0.3333  0.4353
Tl  0.3333  0.6667  0.5647
Hg  0.3333  0.6667  0.3742
Hg  0.3333  0.6667  0.8714
Hg  0.6667  0.3333  0.6258
Hg  0.6667  0.3333  0.1286
Au  0.6667  0.3333  0.8702
Au  0.3333  0.6667  0.1298

Calculated values
For the calculated total energy, the calculation gives -23.0 eV/cell. As for the spin magnetization: 0.00 μB per formula unit. The value obtained for the formation energy is -429 meV per atom.

---

[4]
Li5Ag3Sn: optimized geometry, GGA-PBE.

Lattice parameters (Å, degrees): 8.3050 8.3050 7.7549 66.51 66.51 47.27
Element x y z (fractional)
Li  0.8962  0.4413  0.3264
Li  0.3351  0.6649  0.0000
Li  0.3222  0.3222  0.3438
Li  0.4413  0.8962  0.3264
Li  0.8403  0.8403  0.9802
Li  0.1038  0.5587  0.6736
Li  0.6649  0.3351  0.0000
Li  0.6778  0.6778  0.6562
Li  0.1597  0.1597  0.0198
Li  0.5587  0.1038  0.6736
Ag  0.3304  0.3304  0.9995
Ag  0.0000  0.0000  0.5000
Ag  0.4960  0.4960  0.3296
Ag  0.6696  0.6696  0.0005
Ag  0.0000  0.0000  0.0000
Ag  0.5040  0.5040  0.6704
Sn  0.8552  0.8552  0.3534
Sn  0.1448  0.1448  0.6466

Calculated values
For the calculated total energy, the calculation gives -45.3 eV/cell. As for the spin magnetization: 0.00 μB per formula unit. The value obtained for the formation energy is -57 meV per atom.

---

[5]
Nd2Dy12Y5: optimized geometry, GGA-PBE.

Lattice parameters (Å, degrees): 9.1955 12.4313 8.5550 132.42 90.00 111.71
Element x y z (fractional)
Dy  0.6632  0.6889  0.9338
Dy  0.8186  0.2529  0.5974
Dy  0.9744  0.3111  0.0662
Dy  0.5570  0.1141  0.7820
Dy  0.4343  0.2529  0.5974
Dy  0.1814  0.7471  0.4026
Dy  0.0929  0.1858  0.3016
Dy  0.9071  0.8142  0.6984
Dy  0.0256  0.6889  0.9338
Dy  0.3368  0.3111  0.0662
Dy  0.4430  0.8859  0.2180
Dy  0.5657  0.7471  0.4026
Y  0.3017  0.6033  0.6127
Y  0.2328  0.4656  0.8903
Y  0.7672  0.5344  0.1097
Y  0.6983  0.3967  0.3873
Y  0.0000  0.0000  0.5000
Nd  0.6834  0.0000  0.0000
Nd  0.3166  0.0000  0.0000

Calculated values
For the calculated total energy, the calculation gives -94.6 eV/cell. As for the spin magnetization: 0.00 μB per formula unit. The value obtained for the formation energy is 129 meV per atom. The value obtained for the energy above the most stable polymorph in this dataset is 67 meV/atom.

---

[6]
NiRu2: optimized geometry, GGA-PBE.

Lattice parameters (Å, degrees): 2.6891 2.6891 18.9188 90.00 90.00 120.00
Element x y z (fractional)
Ru  0.6667  0.3333  0.2191
Ru  0.3333  0.6667  0.3299
Ru  0.0000  0.0000  0.6632
Ru  0.0000  0.0000  0.8858
Ru  0.6667  0.3333  0.9965
Ru  0.3333  0.6667  0.5524
Ni  0.6667  0.3333  0.4391
Ni  0.3333  0.6667  0.7724
Ni  0.0000  0.0000  0.1058

Calculated values
For the calculated total energy, the calculation gives -71.9 eV/cell. As for the spin magnetization: 0.00 μB per formula unit. The value obtained for the formation energy is 119 meV per atom. The value obtained for the energy above the most stable polymorph in this dataset is 72 meV/atom.

---

[7]
Er5Tl2Ir2: optimized geometry, GGA-PBE.

Lattice parameters (Å, degrees): 7.5186 7.6152 8.9740 115.11 90.00 90.00
Element x y z (fractional)
Er  0.3377  0.7196  0.7725
Er  0.6623  0.0529  0.7725
Er  0.0000  0.0000  0.0000
Er  0.5000  0.5000  0.0000
Er  0.1623  0.2196  0.7725
Er  0.6623  0.2804  0.2275
Er  0.8377  0.7804  0.2275
Er  0.8377  0.5529  0.7725
Er  0.1623  0.4471  0.2275
Er  0.3377  0.9471  0.2275
Tl  0.0000  0.7805  0.5611
Tl  0.0000  0.2195  0.4389
Tl  0.5000  0.7195  0.4389
Tl  0.5000  0.2805  0.5611
Ir  0.8622  0.3646  0.0000
Ir  0.6378  0.8646  0.0000
Ir  0.3622  0.1354  0.0000
Ir  0.1378  0.6354  0.0000

Calculated values
For the calculated total energy, the calculation gives -101.7 eV/cell. As for the spin magnetization: 0.00 μB per formula unit. The value obtained for the formation energy is -620 meV per atom.

---

[8]
SrPRu2: optimized geometry, GGA-PBE.

Lattice parameters (Å, degrees): 4.8914 4.8914 4.8914 128.17 128.17 76.36
Site moments in Bohr magnetons follow the coordinates.
Element x y z (fractional)
Ru  0.2500  0.7500  0.5000  0.89
Ru  0.0000  0.0000  0.0000  0.55
P  0.7500  0.2500  0.5000  -0.01
Sr  0.5000  0.5000  0.0000  0.01

Calculated values
For the calculated total energy, the calculation gives -23.4 eV/cell. As for the spin magnetization: 1.51 μB per formula unit. The value obtained for the formation energy is 553 meV per atom.